Here is a geometry-optimized ZrBP3 structure from Alexandria via LeMat-Bulk. Energies are from PBEsol.

```
ZrBP3
1.0
4.1451 0.0000 0.0000
0.0000 4.1451 0.0000
0.0000 0.0000 4.1451
Zr B P
1 1 3
Direct
0.0000 0.0000 0.0000 Zr
0.5000 0.5000 0.5000 B
0.0000 0.5000 0.5000 P
0.5000 0.0000 0.5000 P
0.5000 0.5000 0.0000 P
```

Output
Theoretical density: 4.546 g/cm³
SG: Pm-3m (221)
E: -6.459 eV per atom
Energy of formation: 237 meV/atom
Volume: 71.2 Å³/cell